# 1
The following is a DFT calculation (PBE) of a geometry-optimized ScTi3B structure.

```
5
Lattice="4.5155 0.0000 0.0000 0.0000 4.5155 0.0000 0.0000 0.0000 4.5155" Properties=species:S:1:pos:R:3 pbc="T T T"
Sc 0.0000 0.0000 0.0000
Ti 0.0000 0.0000 2.2578
Ti 0.0000 2.2578 0.0000
Ti 2.2578 0.0000 0.0000
B 2.2578 2.2578 2.2578
```

Energy in eV/atom: -5.40
Polymorph energy (0 for the lowest one) in eV/atom: 1.9701
ΔH_f (0 K) in eV/atom: 1.936
Crystal system: cubic

# 2
The following is a DFT calculation (PBE) of a geometry-optimized Hf6BiP structure.

```
8
Lattice="4.6592 2.6900 2.4517 -4.6592 2.6900 2.4517 0.0000 -5.3800 2.4517" Properties=species:S:1:pos:R:3 pbc="T T T"
Hf 0.0000 -2.2862 2.6647
Hf -1.9799 1.1431 2.6647
Hf -1.9799 -1.1431 4.6903
Hf 1.9799 1.1431 2.6647
Hf 1.9799 -1.1431 4.6903
Hf 0.0000 2.2862 4.6903
Bi 0.0000 0.0000 0.0000
P 0.0000 0.0000 3.6775
```

Energy in eV/atom: -8.81
ΔH_f (0 K) in eV/atom: -0.179
Crystal system: trigonal

# 3
The following is a DFT calculation (PBE) of a geometry-optimized NaPuN2 structure.

```
4
Lattice="2.9200 0.0000 0.0000 0.0000 2.9200 0.0000 0.0000 0.0000 6.1815" Properties=species:S:1:pos:R:3 pbc="T T T"
Na 0.0000 0.0000 0.0000
Pu 0.0000 0.0000 3.0907
N 1.4600 1.4600 1.8290
N 1.4600 1.4600 4.3524
```

Energy in eV/atom: -8.24
Polymorph energy (0 for the lowest one) in eV/atom: 0.6431
Formation energy (no corrections) in meV per atom: -160.0
Crystal system: tetragonal

# 4
The following is a DFT calculation (PBE) of a geometry-optimized V2Si2Hg structure.

```
10
Lattice="6.7534 0.0000 0.0000 0.0000 6.7534 0.0000 0.0000 0.0000 3.2430" Properties=species:S:1:pos:R:3 pbc="T T T"
V 1.0952 2.2815 0.0000
V 2.2815 5.6582 0.0000
V 4.4719 1.0952 0.0000
V 5.6582 4.4719 0.0000
Si 0.8501 4.2268 1.6215
Si 2.5266 0.8501 1.6215
Si 4.2268 5.9034 1.6215
Si 5.9034 2.5266 1.6215
Hg 0.0000 0.0000 1.6215
Hg 3.3767 3.3767 1.6215
```

Energy in eV/atom: -5.85
Polymorph energy (0 for the lowest one) in eV/atom: 0.0078
Formation energy (no corrections) in meV per atom: 27.5
Crystal system: tetragonal

# 5
The following is a DFT calculation (PBE) of a geometry-optimized NaAc2Tb structure.

```
4
Lattice="3.8126 0.0000 0.0000 0.0000 3.8126 0.0000 0.0000 0.0000 11.1257" Properties=species:S:1:pos:R:3 pbc="T T T"
Na 0.0000 0.0000 0.0000
Ac 1.9063 1.9063 2.9580
Ac 1.9063 1.9063 8.1677
Tb 0.0000 0.0000 5.5629
```

Energy in eV/atom: -3.44
Polymorph energy (0 for the lowest one) in eV/atom: 0.0215
ΔH_f (0 K) in eV/atom: 0.098
Crystal system: tetragonal

# 6
The following is a DFT calculation (PBE) of a geometry-optimized Pm2AlCu3Ge4 structure.

```
10
Lattice="4.1687 0.0000 0.0000 0.0000 4.1687 0.0000 0.0000 0.0000 10.4696" Properties=species:S:1:pos:R:3 pbc="T T T"
Pm 0.0000 2.0844 2.5546
Pm 2.0844 0.0000 7.9150
Al 0.0000 0.0000 5.2348
Cu 0.0000 2.0844 9.1121
Cu 2.0844 0.0000 1.3575
Cu 2.0844 2.0844 5.2348
Ge 0.0000 0.0000 0.0000
Ge 0.0000 2.0844 6.7326
Ge 2.0844 0.0000 3.7370
Ge 2.0844 2.0844 0.0000
```

Energy in eV/atom: -4.90
ΔH_f (0 K) in eV/atom: -0.495
Crystal system: tetragonal